# 1
The following is a DFT calculation (PBE) of an optimized crystal structure of Rb2AgAu.

crystal system: tetragonal
energy above the lowest structure with this stoichiometry: 0.19 eV/f.u.
total moment: 0.0 μB per formula unit
E_tot: -2.100 eV per atom
SG: P4/mmm
calculated formation energy: -84 meV per atom

Cell: 4.2318 4.2318 8.4867 Å, 90.00 90.00 90.00°
With the nearest neighbours (Å) after each atom.
Element x y z (fractional)
Au: 0.5000 0.5000 0.0000  8 Rb 3.62
Rb: 0.0000 0.0000 0.7596  4 Au 3.62, 4 Ag 3.72
Rb: 0.0000 0.0000 0.2404  4 Au 3.62, 4 Ag 3.72
Ag: 0.5000 0.5000 0.5000  8 Rb 3.72

---

# 2
The following is a DFT calculation (PBE) of an optimized crystal structure of Rb5AgAu2.

crystal system: tetragonal
total moment: 0.0 μB per formula unit
E_tot: -1.931 eV per atom
SG: I4/mcm
calculated formation energy: -150 meV per atom

Cell: 9.1458 9.1458 10.7586 Å, 115.15 115.15 90.00°
With the nearest neighbours (Å) after each atom.
Element x y z (fractional)
Rb: 0.5330 0.6878 0.7208  3 Au 3.59-3.67, 2 Ag 3.88
Rb: 0.8122 0.9670 0.2792  3 Au 3.59-3.67, 2 Ag 3.88
Rb: 0.0000 0.0000 0.0000  4 Au 3.69
Rb: 0.5000 0.5000 0.0000  4 Au 3.69
Rb: 0.1878 0.0330 0.7208  3 Au 3.59-3.67, 2 Ag 3.88
Rb: 0.6878 0.1878 0.7208  3 Au 3.59-3.67, 2 Ag 3.88
Rb: 0.0330 0.5330 0.7208  3 Au 3.59-3.67, 2 Ag 3.88
Rb: 0.3122 0.8122 0.2792  3 Au 3.59-3.67, 2 Ag 3.88
Rb: 0.9670 0.4670 0.2792  3 Au 3.59-3.67, 2 Ag 3.88
Rb: 0.4670 0.3122 0.2792  3 Au 3.59-3.67, 2 Ag 3.88
Ag: 0.7500 0.7500 0.5000  10 Rb 3.88-4.30
Ag: 0.2500 0.2500 0.5000  10 Rb 3.88-4.30
Au: 0.1129 0.3871 0.0000  1 Au 2.92
Au: 0.6129 0.1129 0.0000  1 Au 2.92
Au: 0.3871 0.8871 0.0000  1 Au 2.92
Au: 0.8871 0.6129 0.0000  1 Au 2.92

---

# 3
The following is a DFT calculation (PBE) of an optimized crystal structure of Rb6AgAu.

crystal system: orthorhombic
total moment: 0.0 μB per formula unit
E_tot: -1.531 eV per atom
SG: Amm2
calculated formation energy: -39 meV per atom

Cell: 4.7622 10.4433 10.4432 Å, 94.41 90.00 90.00°
With the nearest neighbours (Å) after each atom.
Element x y z (fractional)
Rb: 0.0000 0.5100 0.7788  2 Au 3.61, 1 Ag 3.91
Rb: 0.0000 0.2212 0.4900  2 Au 3.61, 1 Ag 3.91
Rb: 0.0000 0.6676 0.3324  10 Rb 4.76-5.06
Rb: 0.5000 0.9231 0.6651  1 Au 3.46, 2 Ag 3.78
Rb: 0.5000 0.3348 0.0769  1 Au 3.46, 2 Ag 3.78
Rb: 0.5000 0.9447 0.0553  2 Ag 3.93, 2 Rb 4.06
Ag: 0.0000 0.1485 0.8515  2 Au 2.84
Au: 0.5000 0.2500 0.7500  2 Ag 2.84

---

# 4
The following is a DFT calculation (PBE) of an optimized crystal structure of Rb2AgAu.

crystal system: cubic
energy above the lowest structure with this stoichiometry: 0.20 eV/f.u.
total moment: 0.0 μB per formula unit
E_tot: -2.097 eV per atom
SG: Fm-3m
calculated formation energy: -81 meV per atom

Cell: 5.9889 5.9889 5.9889 Å, 60.00 60.00 60.00°
With the nearest neighbours (Å) after each atom.
Element x y z (fractional)
Au: 0.5000 0.5000 0.5000  8 Rb 3.67
Rb: 0.2500 0.2500 0.2500  4 Au 3.67, 4 Ag 3.67
Rb: 0.7500 0.7500 0.7500  4 Au 3.67, 4 Ag 3.67
Ag: 0.0000 0.0000 0.0000  8 Rb 3.67

---

E_tot of number 4 (Rb2AgAu)?
-2.097 eV per atom